Compound: LiZn2Ag
Source: the Alexandria database
Functional: GGA-PBEsol
Structure: relaxed

Cell lengths 3.7117, 3.8068, 4.0578 Å; angles 90.00, 90.00, 90.00 degrees
Last column: nearest neighbours and their distance in Å.
Fractional positions:
Li  0.0000  0.0000  0.0000  4 Ag 2.66, 8 Zn 2.75-2.78
Zn  0.0000  0.5000  0.5000  4 Zn 2.66, 4 Ag 2.75, 4 Li 2.78
Zn  0.5000  0.0000  0.5000  4 Zn 2.66, 4 Li 2.75, 4 Ag 2.78
Ag  0.5000  0.5000  0.0000  4 Li 2.66, 8 Zn 2.75-2.78

Properties
DFT total energy   -2.272 eV per atom



Compound: CoPRh2
Source: the Alexandria database
Functional: GGA-PBEsol
Structure: relaxed

Cell lengths 2.7506, 3.6775, 5.0827 Å; angles 90.00, 103.65, 90.00 degrees
Last column: nearest neighbours and their distance in Å.
Fractional positions:
Co  0.0000  0.0000  0.0000  2 P 2.54, 8 Rh 2.60-2.66, 2 Co 2.75
P  0.0000  0.0000  0.5000  4 Rh 2.30, 2 Co 2.54
Rh  0.3665  0.5000  0.7392  2 P 2.30
Rh  0.6335  0.5000  0.2608  2 P 2.30

Properties
DFT total energy   -7.657 eV per atom



| no. | N(E_F) (states/eV/f.u.) | total moment (μB per formula unit) |
| --- | --- | --- |
| 1 | 1.18 | 0.00 |
| 2 | 3.35 | 1.90 |